1.
An optimized crystal structure of VPF3. Source: Alexandria via LeMat-Bulk, functional GGA+U.

Space-group type: Pm-3m (221)
Excess energy over the best structure of this formula in the dataset: 0.00 eV/f.u.

a b c (Å): 4.1551 4.1551 4.1551
angles (deg): 90.00 90.00 90.00
Each line ends with the local moment (μB).
Atoms (fractional coordinates):
P  0.5000  0.5000  0.5000  1.06
V  0.0000  0.0000  0.0000  2.42
F  0.0000  0.5000  0.0000  0.04
F  0.0000  0.0000  0.5000  0.04
F  0.5000  0.0000  0.0000  0.04


2.
An optimized crystal structure of VPF2. Source: Alexandria via LeMat-Bulk, functional GGA+U.

Space-group type: R-3m (166)
Excess energy over the best structure of this formula in the dataset: 0.00 eV/f.u.

a b c (Å): 9.7886 9.7886 9.7886
angles (deg): 17.95 17.95 17.95
Each line ends with the local moment (μB).
Atoms (fractional coordinates):
P  0.0000  0.0000  0.0000  0.12
V  0.5000  0.5000  0.5000  2.76
F  0.8720  0.8720  0.8720  0.02
F  0.1280  0.1280  0.1280  0.02


3.
An optimized crystal structure of VP3F. Source: Alexandria via LeMat-Bulk, functional GGA+U.

Space-group type: Pm-3m (221)
Excess energy over the best structure of this formula in the dataset: 1.89 eV/f.u.

a b c (Å): 4.3011 4.3011 4.3011
angles (deg): 90.00 90.00 90.00
Each line ends with the local moment (μB).
Atoms (fractional coordinates):
P  0.0000  0.5000  0.0000  -0.13
P  0.0000  0.0000  0.5000  -0.13
P  0.5000  0.0000  0.0000  -0.13
V  0.5000  0.5000  0.5000  2.50
F  0.0000  0.0000  0.0000  -0.03


4.
An optimized crystal structure of P2WF. Source: Alexandria via LeMat-Bulk, functional GGA+U.

Space-group type: Fm-3m (225)
Excess energy over the best structure of this formula in the dataset: 0.00 eV/f.u.

a b c (Å): 4.3016 4.3016 4.3016
angles (deg): 60.00 60.00 60.00
Atoms (fractional coordinates):
P  0.2500  0.2500  0.2500
P  0.7500  0.7500  0.7500
W  0.5000  0.5000  0.5000
F  0.0000  0.0000  0.0000


5.
An optimized crystal structure of PWF2. Source: Alexandria via LeMat-Bulk, functional GGA+U.

Space-group type: Fm-3m (225)
Excess energy over the best structure of this formula in the dataset: 3.41 eV/f.u.

a b c (Å): 4.2283 4.2283 4.2283
angles (deg): 60.00 60.00 60.00
Each line ends with the local moment (μB).
Atoms (fractional coordinates):
P  0.0000  0.0000  0.0000  -0.56
W  0.5000  0.5000  0.5000  2.19
F  0.2500  0.2500  0.2500  -0.15
F  0.7500  0.7500  0.7500  -0.15


6.
An optimized crystal structure of PWF3. Source: Alexandria via LeMat-Bulk, functional GGA+U.

Space-group type: Pm-3m (221)
Excess energy over the best structure of this formula in the dataset: 4.07 eV/f.u.

a b c (Å): 4.2695 4.2695 4.2695
angles (deg): 90.00 90.00 90.00
Each line ends with the local moment (μB).
Atoms (fractional coordinates):
P  0.0000  0.0000  0.0000  -0.06
W  0.5000  0.5000  0.5000  4.08
F  0.0000  0.5000  0.0000  0.08
F  0.0000  0.0000  0.5000  0.07
F  0.5000  0.0000  0.0000  0.04


7.
An optimized crystal structure of P2WF. Source: Alexandria via LeMat-Bulk, functional GGA+U.

Space-group type: I-42d (122)
Excess energy over the best structure of this formula in the dataset: 0.75 eV/f.u.

a b c (Å): 5.5203 5.5203 6.6276
angles (deg): 65.39 65.39 90.00
Atoms (fractional coordinates):
P  0.6387  0.1250  0.2500
P  0.1113  0.6250  0.2500
P  0.3750  0.3613  0.7500
P  0.8750  0.8887  0.7500
W  0.0000  0.0000  0.0000
W  0.7500  0.2500  0.5000
F  0.5000  0.5000  0.0000
F  0.2500  0.7500  0.5000


8.
An optimized crystal structure of PWF2. Source: Alexandria via LeMat-Bulk, functional GGA+U.

Space-group type: I-42d (122)
Excess energy over the best structure of this formula in the dataset: 0.00 eV/f.u.

a b c (Å): 3.7379 3.7379 8.5005
angles (deg): 77.30 77.30 90.00
Each line ends with the local moment (μB).
Atoms (fractional coordinates):
P  0.5000  0.5000  0.0000  -0.06
P  0.2500  0.7500  0.5000  -0.06
W  0.0000  0.0000  0.0000  2.66
W  0.7500  0.2500  0.5000  2.66
F  0.6432  0.1250  0.2500  0.05
F  0.1068  0.6250  0.2500  0.05
F  0.3750  0.3568  0.7500  0.05
F  0.8750  0.8932  0.7500  0.05


9.
An optimized crystal structure of PW2F. Source: Alexandria via LeMat-Bulk, functional GGA+U.

Space-group type: Fm-3m (225)
Excess energy over the best structure of this formula in the dataset: 0.33 eV/f.u.

a b c (Å): 4.2578 4.2578 4.2578
angles (deg): 60.00 60.00 60.00
Each line ends with the local moment (μB).
Atoms (fractional coordinates):
P  0.5000  0.5000  0.5000  -0.10
W  0.2500  0.2500  0.2500  0.92
W  0.7500  0.7500  0.7500  0.92
F  0.0000  0.0000  0.0000  0.00


10.
An optimized crystal structure of PW2F. Source: Alexandria via LeMat-Bulk, functional GGA+U.

Space-group type: I-42d (122)
Excess energy over the best structure of this formula in the dataset: 0.00 eV/f.u.

a b c (Å): 6.7087 6.7087 5.7199
angles (deg): 54.10 54.10 90.00
Each line ends with the local moment (μB).
Atoms (fractional coordinates):
P  0.0000  0.0000  0.0000  -0.12
P  0.7500  0.2500  0.5000  -0.12
W  0.6120  0.1250  0.2500  3.05
W  0.1380  0.6250  0.2500  3.05
W  0.3750  0.3880  0.7500  3.05
W  0.8750  0.8620  0.7500  3.05
F  0.5000  0.5000  0.0000  0.08
F  0.2500  0.7500  0.5000  0.08


11.
An optimized crystal structure of PWF3. Source: Alexandria via LeMat-Bulk, functional GGA+U.

Space-group type: Pm-3m (221)
Excess energy over the best structure of this formula in the dataset: 0.00 eV/f.u.

a b c (Å): 4.2957 4.2957 4.2957
angles (deg): 90.00 90.00 90.00
Each line ends with the local moment (μB).
Atoms (fractional coordinates):
P  0.5000  0.5000  0.5000  -0.03
W  0.0000  0.0000  0.0000  -2.81
F  0.0000  0.5000  0.0000  -0.04
F  0.0000  0.0000  0.5000  -0.01
F  0.5000  0.0000  0.0000  -0.09


12.
An optimized crystal structure of ZrPW2F. Source: Alexandria via LeMat-Bulk, functional GGA+U.

Space-group type: P4/mmm (123)
Total DFT energy (no corrections): -5.375 eV/atom

a b c (Å): 4.2916 4.4912 4.2916
angles (deg): 90.00 90.00 90.00
Each line ends with the local moment (μB).
Atoms (fractional coordinates):
P  0.5000  0.5000  0.5000  0.01
Zr  0.0000  0.5000  0.0000  -0.22
W  0.0000  0.0000  0.5000  0.40
W  0.5000  0.0000  0.0000  0.27
F  0.0000  0.0000  0.0000  -0.01


| no. | V (Å³/f.u.) |
| --- | --- |
| 1 | 71.7 |
| 2 | 77.8 |
| 3 | 79.6 |
| 4 | 56.3 |
| 5 | 53.5 |
| 6 | 77.8 |
| 7 | 81.6 |
| 8 | 56.4 |
| 9 | 54.6 |
| 10 | 71.9 |
| 11 | 79.3 |
| 12 | 82.7 |